Computed, not measured: a crystal of Li2MnCr3O8 relaxed with PBEsol at the SCAN level of DFT.

Values from the calculation:
Final energy (eV per atom): -11.500
Fermi-level density of states (states/eV/cell): 3.378
ΔE_f (raw) (meV per atom): -2355
Relative energy among the computed polymorphs (meV/atom): 63
SG: C2/m
Crystal system: monoclinic

Cell and atoms, written as CIF:
```
data_Li2MnCr3O8
_symmetry_space_group_name_H-M 'P 1'
_symmetry_Int_Tables_number 1
_cell_length_a 5.7662
_cell_length_b 5.7474
_cell_length_c 5.8370
_cell_angle_alpha 60.42
_cell_angle_beta 60.40
_cell_angle_gamma 59.89
loop_
_symmetry_equiv_pos_as_xyz
'x,y,z'
loop_
_atom_site_label
_atom_site_fract_x
_atom_site_fract_y
_atom_site_fract_z
_atom_site_occupancy
Li1 0.0000 0.5000 0.0000 1
Li2 0.5000 0.5000 0.0000 1
Mn1 0.0000 0.5000 0.5000 1
Cr1 0.0000 0.0000 0.5000 1
Cr2 0.5000 0.5000 0.5000 1
Cr3 0.5000 0.0000 0.5000 1
O1 0.2347 0.7285 0.2956 1
O2 0.7355 0.2411 0.2879 1
O3 0.7412 0.7285 0.2956 1
O4 0.2328 0.2479 0.2866 1
O5 0.7672 0.7521 0.7134 1
O6 0.2588 0.2715 0.7044 1
O7 0.2645 0.7589 0.7121 1
O8 0.7653 0.2715 0.7044 1
```

=====

Computed, not measured: a crystal of TlAu2 relaxed with PBEsol at the SCAN level of DFT.

Values from the calculation:
Final energy (eV per atom): -70.206
Fermi-level density of states (states/eV/cell): 3.500
Relative energy among the computed polymorphs (meV/atom): 9
Formation energy from the elements (meV per atom): 19
SG: Fd-3m
Crystal system: cubic

Cell and atoms, written as CIF:
```
data_TlAu2
_symmetry_space_group_name_H-M 'P 1'
_symmetry_Int_Tables_number 1
_cell_length_a 5.5755
_cell_length_b 5.5755
_cell_length_c 5.5755
_cell_angle_alpha 60.00
_cell_angle_beta 60.00
_cell_angle_gamma 60.00
loop_
_symmetry_equiv_pos_as_xyz
'x,y,z'
loop_
_atom_site_label
_atom_site_fract_x
_atom_site_fract_y
_atom_site_fract_z
_atom_site_occupancy
Tl1 0.5000 0.5000 0.5000 1
Tl2 0.7500 0.7500 0.7500 1
Au1 0.1250 0.1250 0.1250 1
Au2 0.1250 0.1250 0.6250 1
Au3 0.1250 0.6250 0.1250 1
Au4 0.6250 0.1250 0.1250 1
```